Here is V2O3F3 after structural relaxation from the Alexandria database. Energies are from PBE+U.

abc: 8.9043 5.4091 9.0778
angles: 90.00 104.99 90.00
Space group C2 (No. 5)
One atom of each set of equivalent atoms:
1 V 0.1021 0.0000 0.3611 (multiplicity 4)
2 V 0.1265 0.5253 0.8738 (multiplicity 4)
3 O 0.0000 0.0988 0.5000 (multiplicity 2)
4 O 0.0000 0.5767 0.0000 (multiplicity 2)
5 O 0.0323 0.8224 0.7511 (multiplicity 4)
6 O 0.2484 0.4863 0.7464 (multiplicity 4)
7 F 0.0406 0.3162 0.2573 (multiplicity 4)
8 F 0.2081 0.2202 0.9875 (multiplicity 4)
9 F 0.2086 0.7623 0.4938 (multiplicity 4)

ρ ... 3.25 g cm⁻³
Polymorph energy (0 for the lowest one) ... 27 meV per atom
DFT total energy ... -53.0 eV per formula unit